[1]
Density functional theory data (PBE) for a relaxed structure of UCuRh2.

Calculated values
calculated formation energy = -0.4710 eV/atom
N(E_F) = 6.35 states/eV/f.u.

abc: 3.753 4.152 4.152
angles: 90.00 90.00 90.00
Last column: magnetic moment on the atom in μB.
Positions (direct):
Cu1 0.500 0.500 0.500  0.00
Rh1 0.000 0.500 0.000  -0.12
U1 0.500 0.000 0.000  1.39
Rh2 0.000 0.000 0.500  -0.12

---

[2]
Density functional theory data (PBE) for a relaxed structure of UCuRh2.

Calculated values
calculated formation energy = -0.3564 eV/atom
N(E_F) = 5.80 states/eV/f.u.

abc: 4.546 4.546 4.546
angles: 60.00 60.00 60.00
Last column: magnetic moment on the atom in μB.
Positions (direct):
Rh1 0.750 0.750 0.750  -0.10
U1 0.000 0.000 0.000  1.70
Cu1 0.500 0.500 0.500  0.00
Rh2 0.250 0.250 0.250  -0.10

---

[3]
Density functional theory data (PBE) for a relaxed structure of UCu3Rh4.

Calculated values
calculated formation energy = -0.3075 eV/atom
N(E_F) = 6.28 states/eV/f.u.

abc: 4.120 4.120 7.458
angles: 106.04 106.03 90.00
Positions (direct):
Cu1 0.000 0.500 0.000
U1 0.500 0.000 0.000
Rh1 0.371 0.371 0.742
Rh2 0.629 0.629 0.258
Cu2 0.248 0.747 0.496
Rh3 0.129 0.129 0.258
Rh4 0.871 0.871 0.742
Cu3 0.752 0.253 0.504

---

[4]
Density functional theory data (PBE) for a relaxed structure of UCu4Rh.

Calculated values
calculated formation energy = -0.0660 eV/atom
N(E_F) = 6.95 states/eV/f.u.

abc: 4.945 4.945 4.945
angles: 60.00 60.00 60.00
Positions (direct):
Cu1 0.626 0.626 0.123
Rh1 0.000 0.000 0.000
Cu2 0.626 0.626 0.626
Cu3 0.123 0.626 0.626
Cu4 0.626 0.123 0.626
U1 0.250 0.250 0.250

---

| no. | magnetic moment (μB/cell) |
| --- | --- |
| 1 | 1.21 |
| 2 | 1.65 |
| 3 | 0.00 |
| 4 | 0.04 |